# 1
Computed, not measured: an optimized crystal structure of SiAg4Hg at the PBE-GGA level of DFT.

a = 5.513 Å, b = 5.513 Å, c = 5.513 Å
α = 60.00°, β = 60.00°, γ = 60.00°
Fractional coordinates of all 6 atoms:
Si: 0.000 0.000 0.000
Ag: 0.125 0.625 0.625
Ag: 0.625 0.125 0.625
Ag: 0.625 0.625 0.125
Ag: 0.625 0.625 0.625
Hg: 0.250 0.250 0.250

total energy = -2.4931 eV per atom
V = 19.7 Å³ per atom
raw formation energy = 362 meV/atom

---

# 2
Computed, not measured: an optimized crystal structure of SmAg3Hg at the PBE-GGA level of DFT.

a = 14.599 Å, b = 14.599 Å, c = 3.379 Å
α = 90.00°, β = 90.00°, γ = 161.47°
Fractional coordinates of all 10 atoms:
Sm: 0.177 0.823 0.000
Sm: 0.823 0.177 0.000
Ag: 0.062 0.938 0.500
Ag: 0.275 0.725 0.500
Ag: 0.454 0.546 0.000
Ag: 0.546 0.454 0.000
Ag: 0.725 0.275 0.500
Ag: 0.938 0.062 0.500
Hg: 0.374 0.626 0.500
Hg: 0.626 0.374 0.500

total energy = -2.7889 eV per atom
energy of formation from the pure elements = -1.7 kcal/mol of atoms
V = 22.9 Å³ per atom

---

# 3
Computed, not measured: an optimized crystal structure of Sm8Ag2Hg at the PBE-GGA level of DFT.

a = 8.591 Å, b = 8.591 Å, c = 8.556 Å
α = 119.07°, β = 119.07°, γ = 36.75°
Fractional coordinates of all 11 atoms:
Sm: 0.070 0.070 0.221
Sm: 0.140 0.140 0.695
Sm: 0.318 0.318 0.542
Sm: 0.404 0.404 0.045
Sm: 0.596 0.596 0.955
Sm: 0.682 0.682 0.458
Sm: 0.860 0.860 0.305
Sm: 0.930 0.930 0.779
Ag: 0.225 0.225 0.117
Ag: 0.775 0.775 0.883
Hg: 0.500 0.500 0.500

relative energy among the computed polymorphs = 0 meV per atom
total energy = -4.1310 eV per atom
energy of formation from the pure elements = -3.5 kcal/mol of atoms
V = 29.5 Å³ per atom

---

# 4
Computed, not measured: an optimized crystal structure of Sm2AgHg3 at the PBE-GGA level of DFT.

a = 9.936 Å, b = 9.264 Å, c = 6.048 Å
α = 77.80°, β = 65.69°, γ = 36.51°
Fractional coordinates of all 12 atoms:
Sm: 0.249 0.751 0.751
Sm: 0.250 0.250 0.250
Sm: 0.750 0.750 0.750
Sm: 0.751 0.249 0.249
Ag: 0.167 0.167 0.833
Ag: 0.833 0.833 0.167
Hg: 0.161 0.670 0.330
Hg: 0.330 0.839 0.161
Hg: 0.331 0.331 0.669
Hg: 0.669 0.669 0.331
Hg: 0.670 0.161 0.839
Hg: 0.839 0.330 0.670

total energy = -2.5982 eV per atom
energy of formation from the pure elements = -9.2 kcal/mol of atoms
V = 24.5 Å³ per atom

---

# 5
Computed, not measured: an optimized crystal structure of SmAgHg6 at the PBE-GGA level of DFT.

a = 8.823 Å, b = 8.823 Å, c = 8.823 Å
α = 40.40°, β = 40.40°, γ = 40.40°
Fractional coordinates of all 8 atoms:
Sm: 0.000 0.000 0.000
Ag: 0.500 0.500 0.500
Hg: 0.066 0.066 0.556
Hg: 0.066 0.556 0.066
Hg: 0.444 0.934 0.934
Hg: 0.556 0.066 0.066
Hg: 0.934 0.444 0.934
Hg: 0.934 0.934 0.444

relative energy among the computed polymorphs = 277 meV per atom
total energy = -1.0240 eV per atom
energy of formation from the pure elements = 3.4 kcal/mol of atoms
V = 32.5 Å³ per atom

---

# 6
Computed, not measured: an optimized crystal structure of Sm6AgHg6 at the PBE-GGA level of DFT.

a = 6.342 Å, b = 6.342 Å, c = 10.587 Å
α = 90.00°, β = 90.00°, γ = 120.00°
Fractional coordinates of all 13 atoms:
Sm: 0.000 0.000 0.187
Sm: 0.000 0.000 0.813
Sm: 0.333 0.667 0.000
Sm: 0.333 0.667 0.500
Sm: 0.667 0.333 0.000
Sm: 0.667 0.333 0.500
Ag: 0.000 0.000 0.500
Hg: 0.000 0.500 0.253
Hg: 0.000 0.500 0.747
Hg: 0.500 0.000 0.253
Hg: 0.500 0.000 0.747
Hg: 0.500 0.500 0.253
Hg: 0.500 0.500 0.747

total energy = -2.7623 eV per atom
energy of formation from the pure elements = -5.2 kcal/mol of atoms
V = 28.4 Å³ per atom